ZrCr2AsF PBE+U optimized geometry; final energy = -5.83 eV/atom
1.0
5.380 0.000 0.000
0.000 5.380 0.000
0.000 0.000 4.048
Zr Cr As F
1 2 1 1
direct
0.000 0.000 0.000
0.000 0.500 0.000
0.500 0.000 0.000
0.500 0.500 0.500
0.000 0.000 0.500